No. 1
VASP calculation (PBE) on crystalline Na2InAgI4 at its relaxed geometry.

Computed properties:
The value obtained for the raw total energy is -2.5863 eV per atom.

Cell and atoms, written as POSCAR:
```
Na2InAgI4
1.0
2.308 -7.767 0.000
2.308 7.767 0.000
0.000 0.000 16.493
Na In Ag I
4 2 2 8
direct
0.123 0.877 0.559 Na
0.123 0.877 0.941 Na
0.877 0.123 0.059 Na
0.877 0.123 0.441 Na
0.366 0.634 0.750 In
0.634 0.366 0.250 In
0.348 0.652 0.250 Ag
0.652 0.348 0.750 Ag
0.043 0.957 0.750 I
0.233 0.767 0.115 I
0.233 0.767 0.385 I
0.500 0.500 0.000 I
0.500 0.500 0.500 I
0.767 0.233 0.615 I
0.767 0.233 0.885 I
0.957 0.043 0.250 I
```

***

No. 2
VASP calculation (PBE) on crystalline ScBe2Se at its relaxed geometry.

Computed properties:
The value obtained for the raw total energy is -4.4493 eV per atom.

Cell and atoms, written as POSCAR:
```
ScBe2Se
1.0
3.517 0.000 0.000
0.000 3.734 0.000
0.000 0.000 4.878
Sc Be Se
1 2 1
direct
0.000 0.000 0.000 Sc
0.500 0.500 0.204 Be
0.500 0.500 0.796 Be
0.000 0.500 0.500 Se
```

***

No. 3
VASP calculation (PBE) on crystalline La2Dy3Tm3 at its relaxed geometry.

Computed properties:
The value obtained for the calculated formation energy is 0.0342 eV/atom. The value obtained for the raw total energy is -4.6003 eV per atom.

Cell and atoms, written as POSCAR:
```
La2Dy3Tm3
1.0
-2.540 2.542 10.010
2.540 -2.542 10.010
2.540 2.542 -10.010
La Dy Tm
2 3 3
direct
0.250 0.250 0.000 La
0.750 0.750 0.000 La
0.000 0.000 0.000 Dy
0.379 0.879 0.500 Dy
0.621 0.121 0.500 Dy
0.121 0.621 0.500 Tm
0.500 0.500 0.000 Tm
0.879 0.379 0.500 Tm
```

***

Going through the records in order, we get magnetization values of 0.00 0.00 0.00 μB/cell.